[1]
Material: Er3Ge5
Method: DFT, PBE-GGA
State: relaxed

a b c (Å): 5.737 7.401 9.113
angles (deg): 82.99 71.65 67.19
Element x y z (fractional)
Er 0.961 0.380 0.664
Er 0.660 0.380 0.336
Er 0.875 0.880 0.836
Er 0.245 0.880 0.164
Er 0.552 0.897 0.500
Er 0.302 0.397 0.000
Ge 0.472 0.722 0.825
Ge 0.806 0.722 0.175
Ge 0.547 0.222 0.675
Ge 0.230 0.222 0.325
Ge 0.711 0.091 0.124
Ge 0.199 0.091 0.876
Ge 0.085 0.591 0.376
Ge 0.324 0.591 0.624
Ge 0.999 0.001 0.500
Ge 0.749 0.501 0.000

Summary:
VASP energy, eV per atom: -5.2772
Formation energy from the elements, meV/atom: -680
D(E_F), states/eV/cell: 7.266



[2]
Material: ErGe5
Method: DFT, PBE-GGA
State: relaxed

a b c (Å): 3.978 4.341 7.256
angles (deg): 107.41 90.00 90.00
Element x y z (fractional)
Ge 0.000 0.658 0.316
Ge 0.000 0.342 0.684
Ge 0.500 0.500 0.000
Ge 0.500 0.180 0.359
Ge 0.500 0.820 0.641
Er 0.000 0.000 0.000

Summary:
VASP energy, eV per atom: -4.7103
Formation energy from the elements, meV/atom: -102
D(E_F), states/eV/cell: 2.662



[3]
Material: Er4Ge3
Method: DFT, PBE-GGA
State: relaxed

a b c (Å): 7.583 7.583 7.583
angles (deg): 109.47 109.47 109.47
Element x y z (fractional)
Er 0.368 0.500 0.000
Er 0.500 0.368 0.500
Er 0.000 0.000 0.368
Er 0.632 0.132 0.132
Er 0.000 0.000 0.868
Er 0.132 0.632 0.632
Er 0.868 0.500 0.000
Er 0.500 0.868 0.500
Ge 0.125 0.375 0.250
Ge 0.625 0.750 0.875
Ge 0.875 0.250 0.625
Ge 0.250 0.875 0.125
Ge 0.750 0.625 0.375
Ge 0.375 0.125 0.750

Summary:
VASP energy, eV per atom: -5.4424
Formation energy from the elements, meV/atom: -856
D(E_F), states/eV/cell: 1.373